(1)
Material: MoAsPb2
Method: DFT, PBE
State: relaxed

Values from the calculation:
E_form ... 316 meV/atom
E_tot ... -5.408 eV per atom
Symmetry ... Pm

a b c (Å): 3.957 4.460 5.565
angles (deg): 90.00 110.76 90.00
Sites, in units of the cell vectors:
Mo (0.000, 0.000, 0.000)
As (0.878, 0.500, 0.752)
Pb (0.288, 0.000, 0.575)
Pb (0.595, 0.500, 0.189)

(2)
Material: Rb2GaPbCl6
Method: DFT, PBE
State: relaxed

Values from the calculation:
E_tot ... -3.351 eV per atom
Symmetry ... I4/mmm
ΔE_f (raw) ... -1.3762 eV per atom

a b c (Å): 7.660 7.660 7.660
angles (deg): 119.87 119.87 90.22
Sites, in units of the cell vectors:
Rb (0.250, 0.750, 0.500)
Rb (0.750, 0.250, 0.500)
Ga (0.000, 0.000, 0.000)
Pb (0.500, 0.500, 0.000)
Cl (0.237, 0.237, 0.000)
Cl (0.237, 0.237, 0.475)
Cl (0.237, 0.763, 0.000)
Cl (0.763, 0.237, 0.000)
Cl (0.763, 0.763, 0.000)
Cl (0.763, 0.763, 0.525)

(3)
Material: Nd4Al2Cd5
Method: DFT, PBE
State: relaxed

Values from the calculation:
E_form ... -292 meV/atom
E_tot ... -3.122 eV per atom
Symmetry ... P2/m

a b c (Å): 7.831 3.731 10.063
angles (deg): 90.00 94.82 90.00
Sites, in units of the cell vectors:
Nd (0.168, 0.000, 0.376)
Nd (0.266, 0.000, 0.940)
Nd (0.734, 0.000, 0.060)
Nd (0.832, 0.000, 0.624)
Al (0.058, 0.500, 0.129)
Al (0.942, 0.500, 0.871)
Cd (0.188, 0.500, 0.663)
Cd (0.432, 0.500, 0.201)
Cd (0.500, 0.500, 0.500)
Cd (0.568, 0.500, 0.799)
Cd (0.812, 0.500, 0.337)

(4)
Material: Be2AlSiRu
Method: DFT, PBE
State: relaxed

Values from the calculation:
E_tot ... -4.023 eV per atom
Symmetry ... P4/mmm
ΔE_f (raw) ... 1.1555 eV per atom

a b c (Å): 4.165 4.165 4.527
angles (deg): 90.00 90.00 90.00
Sites, in units of the cell vectors:
Be (0.000, 0.500, 0.000)
Be (0.500, 0.000, 0.000)
Al (0.000, 0.000, 0.000)
Si (0.500, 0.500, 0.500)
Ru (0.000, 0.000, 0.500)

(5)
Material: TePI2N
Method: DFT, PBE
State: relaxed

Values from the calculation:
Relative energy among the computed polymorphs ... 0.639 eV per atom
E_tot ... -2.715 eV per atom
Symmetry ... P4/mmm
ΔE_f (raw) ... 1.2807 eV per atom

a b c (Å): 4.810 4.810 5.081
angles (deg): 90.00 90.00 90.00
Sites, in units of the cell vectors:
Te (0.000, 0.000, 0.000)
P (0.500, 0.500, 0.000)
I (0.000, 0.500, 0.500)
I (0.500, 0.000, 0.500)
N (0.000, 0.000, 0.500)

(6)
Material: Dy2Ho3TmSe6
Method: DFT, PBE
State: relaxed

Values from the calculation:
E_tot ... -5.746 eV per atom
Symmetry ... C2/m
ΔE_f (raw) ... -1.7197 eV per atom

a b c (Å): 9.061 9.061 8.140
angles (deg): 103.12 103.12 25.80
Sites, in units of the cell vectors:
Dy (0.168, 0.168, 0.335)
Dy (0.832, 0.832, 0.665)
Ho (0.168, 0.168, 0.833)
Ho (0.500, 0.500, 0.500)
Ho (0.832, 0.832, 0.167)
Tm (0.500, 0.500, 0.000)
Se (0.001, 0.001, 0.753)
Se (0.334, 0.334, 0.416)
Se (0.335, 0.335, 0.919)
Se (0.665, 0.665, 0.081)
Se (0.666, 0.666, 0.584)
Se (0.999, 0.999, 0.247)

(7)
Material: SmY2Hf
Method: DFT, PBE
State: relaxed

Values from the calculation:
Relative energy among the computed polymorphs ... 0.040 eV per atom
E_form ... 165 meV/atom
E_tot ... -6.735 eV per atom
Symmetry ... P4/mmm

a b c (Å): 4.876 4.876 4.912
angles (deg): 90.00 90.00 90.00
Sites, in units of the cell vectors:
Sm (0.000, 0.000, 0.000)
Y (0.000, 0.500, 0.500)
Y (0.500, 0.000, 0.500)
Hf (0.500, 0.500, 0.000)

(8)
Material: Na3Pr3ScSe8
Method: DFT, PBE
State: relaxed

Values from the calculation:
E_tot ... -5.060 eV per atom
Symmetry ... R-3m
ΔE_f (raw) ... -1.5593 eV per atom

a b c (Å): 8.563 8.563 8.563
angles (deg): 59.31 59.31 59.31
Sites, in units of the cell vectors:
Na (0.000, 0.500, 0.500)
Na (0.500, 0.000, 0.500)
Na (0.500, 0.500, 0.000)
Pr (0.000, 0.000, 0.500)
Pr (0.000, 0.500, 0.000)
Pr (0.500, 0.000, 0.000)
Sc (0.500, 0.500, 0.500)
Se (0.247, 0.247, 0.247)
Se (0.264, 0.730, 0.730)
Se (0.270, 0.270, 0.736)
Se (0.270, 0.736, 0.270)
Se (0.730, 0.264, 0.730)
Se (0.730, 0.730, 0.264)
Se (0.736, 0.270, 0.270)
Se (0.753, 0.753, 0.753)

(9)
Material: Li2Sm2Au3
Method: DFT, PBE
State: relaxed

Values from the calculation:
E_form ... -580 meV/atom
E_tot ... -3.880 eV per atom
Symmetry ... Cmmm

a b c (Å): 3.673 23.299 3.468
angles (deg): 90.00 90.00 90.00
Sites, in units of the cell vectors:
Li (0.000, 0.213, 0.000)
Li (0.000, 0.787, 0.000)
Li (0.500, 0.287, 0.000)
Li (0.500, 0.713, 0.000)
Sm (0.000, 0.082, 0.000)
Sm (0.000, 0.918, 0.000)
Sm (0.500, 0.418, 0.000)
Sm (0.500, 0.582, 0.000)
Au (0.000, 0.337, 0.500)
Au (0.000, 0.500, 0.500)
Au (0.000, 0.663, 0.500)
Au (0.500, 0.000, 0.500)
Au (0.500, 0.163, 0.500)
Au (0.500, 0.837, 0.500)

(10)
Material: TiTc2Sb
Method: DFT, PBE
State: relaxed

Values from the calculation:
E_tot ... -8.464 eV per atom
Symmetry ... P4/mmm
ΔE_f (raw) ... -0.2770 eV per atom

a b c (Å): 4.414 4.414 3.282
angles (deg): 90.00 90.00 90.00
Sites, in units of the cell vectors:
Ti (0.000, 0.000, 0.000)
Tc (0.000, 0.500, 0.500)
Tc (0.500, 0.000, 0.500)
Sb (0.500, 0.500, 0.000)

(11)
Material: SmGdSc
Method: DFT, PBE
State: relaxed

Values from the calculation:
Relative energy among the computed polymorphs ... 0.006 eV per atom
E_form ... 56 meV/atom
E_tot ... -8.321 eV per atom
Symmetry ... P3m1

a b c (Å): 3.504 3.504 8.473
angles (deg): 90.00 90.00 120.00
Sites, in units of the cell vectors:
Sm (0.000, 0.000, 0.000)
Gd (0.333, 0.667, 0.644)
Sc (0.667, 0.333, 0.322)

(12)
Material: BaSbH
Method: DFT, PBE
State: relaxed

Values from the calculation:
Relative energy among the computed polymorphs ... 0.148 eV per atom
E_tot ... -3.633 eV per atom
Symmetry ... C2/m

a b c (Å): 9.903 4.418 9.332
angles (deg): 90.00 109.75 90.00
Sites, in units of the cell vectors:
Ba (0.147, 0.000, 0.291)
Ba (0.353, 0.500, 0.709)
Ba (0.647, 0.500, 0.291)
Ba (0.853, 0.000, 0.709)
Sb (0.141, 0.500, 0.965)
Sb (0.359, 0.000, 0.035)
Sb (0.641, 0.000, 0.965)
Sb (0.859, 0.500, 0.035)
H (0.216, 0.000, 0.589)
H (0.284, 0.500, 0.411)
H (0.716, 0.500, 0.589)
H (0.784, 0.000, 0.411)